# 1
A geometry-optimized Sr2YZr structure. Source: the Alexandria database, functional PBE-GGA.

Structure (POSCAR):
```
Sr2YZr
1.0
3.524 0.002 0.000
-1.175 3.323 0.000
0.000 0.000 12.267
Zr Sr Y
1 2 1
direct
0.500 0.500 0.750 Zr
0.000 0.000 0.986 Sr
0.000 0.000 0.514 Sr
0.500 0.500 0.250 Y
```

Its space-group type is No. 65. Its energy of formation is 0.48 eV per atom.

***

# 2
A geometry-optimized Pm4NdSm2Tm structure. Source: the Alexandria database, functional PBE-GGA.

Structure (POSCAR):
```
Pm4NdSm2Tm
1.0
9.453 -0.006 -1.654
-0.012 9.453 -1.654
-6.056 -6.060 8.287
Tm Pm Sm Nd
2 8 4 2
direct
0.000 0.000 0.000 Tm
0.500 0.500 0.500 Tm
0.766 0.768 0.520 Pm
0.268 0.266 0.020 Pm
0.245 0.755 0.000 Pm
0.732 0.734 0.980 Pm
0.745 0.255 0.500 Pm
0.755 0.245 0.000 Pm
0.234 0.232 0.480 Pm
0.255 0.745 0.500 Pm
0.000 0.000 0.500 Sm
0.500 0.500 0.000 Sm
0.500 0.000 0.000 Sm
0.500 0.000 0.500 Sm
0.000 0.500 0.000 Nd
0.000 0.500 0.500 Nd
```

Its space-group type is No. 15. Its energy of formation is 0.39 eV per atom.

***

# 3
A geometry-optimized BaZn2Re structure. Source: the Alexandria database, functional PBE-GGA.

Structure (POSCAR):
```
BaZn2Re
1.0
-2.224 2.215 3.836
0.066 4.941 0.388
-4.162 2.598 -0.710
Zn Re Ba
2 1 1
direct
0.750 0.750 0.750 Zn
0.250 0.250 0.250 Zn
0.500 0.500 0.500 Re
0.000 0.000 0.000 Ba
```

Its space-group type is No. 225. Its energy of formation is 0.85 eV per atom.